# Ce2MgRu | the Alexandria database | GGA-PBE | relaxed
# DFT formation energy	-5.2	kJ per mole of atoms
# DFT total energy	-5.739	eV/atom
data_Ce2MgRu
_cell_length_a 3.9210
_cell_length_b 3.9210
_cell_length_c 25.4460
_cell_angle_alpha 90.00
_cell_angle_beta 90.00
_cell_angle_gamma 120.00
_symmetry_space_group_name_H-M 'R 3 m'
_symmetry_Int_Tables_number 160
_symmetry_space_group_name_Hall 'R 3 -2"'
loop_
_atom_site_label
_atom_site_fract_x
_atom_site_fract_y
_atom_site_fract_z
_atom_site_occupancy
Ce1 0.0000 0.0000 0.0000 1
Ce2 0.0000 0.0000 0.2104 1
Mg1 0.0000 0.0000 0.4383 1
Ru1 0.0000 0.0000 0.6056 1